Record 1
VASP calculation (PBE) on crystalline BaNaSn4 at its relaxed geometry.

Lattice parameters (Å, degrees): 6.9970 6.9970 6.9970 141.12 115.11 78.30
Last column: nearest neighbours and their distance in Å.
Element x y z (fractional)
Ba1 0.0000 0.0000 0.0000  12 Sn 3.73-3.87, 2 Na 3.75
Na1 0.5000 0.0000 0.5000  8 Sn 3.34
Sn1 0.1270 0.3283 0.7987  3 Sn 2.97-3.02
Sn2 0.4704 0.6717 0.7987  3 Sn 2.97-3.02
Sn3 0.5296 0.3283 0.2013  3 Sn 2.97-3.02
Sn4 0.8730 0.6717 0.2013  3 Sn 2.97-3.02

Values from the calculation:
total magnetic moment	0.000	μB/f.u.
final energy	-3.574	eV/atom
energy of formation from the pure elements	-0.365	eV per atom
excess energy over the best structure of this formula in the dataset	0	meV per atom

Record 2
VASP calculation (PBE) on crystalline BaNaSn at its relaxed geometry.

Lattice parameters (Å, degrees): 10.5958 10.5958 4.6661 90.00 90.00 151.85
Last column: nearest neighbours and their distance in Å.
Element x y z (fractional)
Ba1 0.0894 0.9106 0.7500  6 Sn 3.59-3.78
Ba2 0.9106 0.0894 0.2500  6 Sn 3.59-3.78
Na1 0.2925 0.7075 0.7500  1 Sn 3.34
Na2 0.7075 0.2925 0.2500  1 Sn 3.34
Sn1 0.4552 0.5448 0.7500  2 Sn 2.97
Sn2 0.5448 0.4552 0.2500  2 Sn 2.97

Values from the calculation:
total magnetic moment	0.000	μB/f.u.
final energy	-2.840	eV/atom
energy of formation from the pure elements	-0.425	eV per atom
excess energy over the best structure of this formula in the dataset	3	meV per atom